{
  "formula": "Mn2VPbF8",
  "functional": "GGA+U",
  "state": "relaxed",
  "total_energy_ev_per_atom": -6.00,
  "magnetic_moment_mub_per_fu": 13.000,
  "spacegroup": "Cmmm",
  "cell": [[3.612, -3.654, 0.000], [3.612, 3.654, 0.000], [0.000, 0.000, 6.928]],
  "species": ["Mn", "Mn", "V", "Pb", "F", "F", "F", "F", "F", "F", "F", "F"],
  "frac_coords": [[0.000, 0.000, 0.237], [0.000, 0.000, 0.763], [0.500, 0.500, 0.000], [0.500, 0.500, 0.500], [0.171, 0.829, 0.500], [0.201, 0.799, 0.000], [0.292, 0.292, 0.219], [0.292, 0.292, 0.781], [0.708, 0.708, 0.219], [0.708, 0.708, 0.781], [0.799, 0.201, 0.000], [0.829, 0.171, 0.500]]
}